Here is an optimized crystal structure of DyEr2Ga3NiSn2 from OQMD. Energies are from PBE.

The value obtained for the spin magnetization is 0.0 μB per cell. As for the total energy: -83.57 eV/cell.

The structure belongs to space group Amm2 (No. 38); the cell edges are 4.242, 12.601 and 7.228 Å and the angles 90.00°, 90.00° and 90.00°. The distinct sites, in fractional coordinates, are Dy at (0.000, 0.000, 0.000), Er at (0.000, 0.189, 0.432), Ga at (0.500, 0.000, 0.399), Ga at (0.500, 0.110, 0.730), Ni at (0.000, 0.000, 0.618) and Sn at (0.500, 0.168, 0.121).

Here is an optimized crystal structure of DyErGa2Pd4 from OQMD. Energies are from PBE.

The value obtained for the spin magnetization is 0.0 μB per cell. As for the total energy: -43.13 eV/cell. The relative energy among the computed polymorphs is 0 meV per atom.

The structure belongs to space group P-6m2 (No. 187); the cell edges are 4.3951, 4.3951 and 9.0251 Å and the angles 90.00°, 90.00° and 120.00°. The distinct sites, in fractional coordinates, are Dy at (0.0000, 0.0000, 0.0000), Er at (0.3333, 0.6667, 0.5000), Ga at (0.6667, 0.3333, 0.2504), Pd at (0.0000, 0.0000, 0.3332) and Pd at (0.3333, 0.6667, 0.1695).

Here is an optimized crystal structure of DyEr2Ga4Pd from OQMD. Energies are from PBE.

The value obtained for the spin magnetization is 0.0 μB per cell. As for the total energy: -71.01 eV/cell.

The structure belongs to space group Amm2 (No. 38); the cell edges are 6.558, 4.457 and 11.502 Å and the angles 90.00°, 90.00° and 90.00°. The distinct sites, in fractional coordinates, are Dy at (0.000, 0.000, 0.000), Er at (0.000, 0.000, 0.284), Er at (0.500, 0.000, 0.145), Ga at (0.208, 0.000, 0.608), Ga at (0.313, 0.000, 0.826) and Pd at (0.500, 0.000, 0.425).